(1)
Computed, not measured: a relaxed structure of SrAl4 at the PBE level of DFT.

Calculated values
M_tot (μB per atom): 0.27
Energy of formation (eV/atom): 1.0634
Final energy (eV per cell): -22.67
Calculated volume (Å³/atom): 33.78

CIF file:
```
data_SrAl4
_chemical_formula_sum 'Sr2 Al8'
_space_group_name_H-M_alt 'I m -3 m'
_space_group_IT_number 229
_space_group_name_Hall '-I 4 2 3'
_cell_length_a 6.965
_cell_length_b 6.965
_cell_length_c 6.965
_cell_angle_alpha 90.00
_cell_angle_beta 90.00
_cell_angle_gamma 90.00
loop_
_atom_site_label
_atom_site_type_symbol
_atom_site_fract_x
_atom_site_fract_y
_atom_site_fract_z
_atom_site_occupancy
Sr1 Sr 0.000 0.000 0.000 1
Al1 Al 0.250 0.250 0.250 1
```



(2)
Computed, not measured: a relaxed structure of BaLi2Os at the PBE level of DFT.

Calculated values
Energy above the most stable polymorph in this dataset (meV/atom): 18.2
M_tot (μB per atom): 0.00
Energy of formation (eV/atom): 0.6148
Final energy (eV per cell): -29.04
Calculated volume (Å³/atom): 23.30

CIF file:
```
data_BaLi2Os
_chemical_formula_sum 'Ba2 Li4 Os2'
_space_group_name_H-M_alt 'C 1 m 1'
_space_group_IT_number 8
_cell_length_a 8.850
_cell_length_b 2.981
_cell_length_c 7.087
_cell_angle_alpha 90.00
_cell_angle_beta 94.27
_cell_angle_gamma 90.00
loop_
_space_group_symop_operation_xyz
'x,y,z'
'x,-y,z'
'x+1/2,y+1/2,z'
'x+1/2,-y+1/2,z'
loop_
_atom_site_label
_atom_site_type_symbol
_atom_site_fract_x
_atom_site_fract_y
_atom_site_fract_z
_atom_site_occupancy
Ba1 Ba 0.000 0.000 0.000 1
Li1 Li 0.230 0.000 0.585 1
Li2 Li 0.490 0.000 0.417 1
Os1 Os 0.251 0.500 0.279 1
```



(3)
Computed, not measured: a relaxed structure of PrMgSc2 at the PBE level of DFT.

Calculated values
Energy above the most stable polymorph in this dataset (meV/atom): 8.1
M_tot (μB per atom): 0.00
Energy of formation (eV/atom): 0.0164
Final energy (eV per cell): -18.97
Calculated volume (Å³/atom): 26.72

CIF file:
```
data_PrMgSc2
_chemical_formula_sum 'Pr1 Mg1 Sc2'
_space_group_name_H-M_alt 'P 4/m m m'
_space_group_IT_number 123
_space_group_name_Hall '-P 4 2'
_cell_length_a 3.545
_cell_length_b 3.545
_cell_length_c 8.505
_cell_angle_alpha 90.00
_cell_angle_beta 90.00
_cell_angle_gamma 90.00
loop_
_atom_site_label
_atom_site_type_symbol
_atom_site_fract_x
_atom_site_fract_y
_atom_site_fract_z
_atom_site_occupancy
Pr1 Pr 0.000 0.000 0.000 1
Mg1 Mg 0.000 0.000 0.500 1
Sc1 Sc 0.500 0.500 0.284 1
```



(4)
Computed, not measured: a relaxed structure of Cd2WBr at the PBE level of DFT.

Calculated values
Energy above the most stable polymorph in this dataset (meV/atom): 580.1
ΔE_f (raw) (kJ/mol of formula units): 400
M_tot (μB per atom): 0.72
Final energy (eV per cell): -24.61
Calculated volume (Å³/atom): 21.20

CIF file:
```
data_Cd2WBr
_chemical_formula_sum 'Cd4 W2 Br2'
_space_group_name_H-M_alt 'I 4/m m m'
_space_group_IT_number 139
_space_group_name_Hall '-I 4 2'
_cell_length_a 4.131
_cell_length_b 4.131
_cell_length_c 9.938
_cell_angle_alpha 90.00
_cell_angle_beta 90.00
_cell_angle_gamma 90.00
loop_
_atom_site_label
_atom_site_type_symbol
_atom_site_fract_x
_atom_site_fract_y
_atom_site_fract_z
_atom_site_occupancy
Cd1 Cd 0.000 0.500 0.250 1
W1 W 0.000 0.000 0.000 1
Br1 Br 0.000 0.000 0.500 1
```